NaScAs2Pd: relaxed, PBE.

Cell and atoms, written as CIF:
```
data_NaScAs2Pd
_cell_length_a 5.0397
_cell_length_b 5.0397
_cell_length_c 4.9124
_cell_angle_alpha 90.00
_cell_angle_beta 90.00
_cell_angle_gamma 90.00
_symmetry_space_group_name_H-M 'P 4/m m m'
_symmetry_Int_Tables_number 123
_symmetry_space_group_name_Hall '-P 4 2'
loop_
_atom_site_label
_atom_site_type_symbol
_atom_site_fract_x
_atom_site_fract_y
_atom_site_fract_z
Na1 Na 0.0000 0.0000 0.0000
Sc1 Sc 0.5000 0.5000 0.0000
As1 As 0.0000 0.5000 0.5000
Pd1 Pd 0.5000 0.5000 0.5000
```

Properties
- Uncorrected energy: -4.386 eV/atom
- ΔH_f (0 K): 42.9 meV per atom



Y2ZnFe: relaxed, PBE.

Cell and atoms, written as CIF:
```
data_Y2ZnFe
_cell_length_a 3.5008
_cell_length_b 3.4398
_cell_length_c 7.1126
_cell_angle_alpha 90.00
_cell_angle_beta 90.10
_cell_angle_gamma 90.00
_symmetry_space_group_name_H-M 'P 1 2/m 1'
_symmetry_Int_Tables_number 10
loop_
_symmetry_equiv_pos_as_xyz
'x,y,z'
'-x,-y,-z'
'-x,y,-z'
'x,-y,z'
loop_
_atom_site_label
_atom_site_type_symbol
_atom_site_fract_x
_atom_site_fract_y
_atom_site_fract_z
Y1 Y 0.0008 0.0000 0.2689
Zn1 Zn 0.5000 0.5000 0.0000
Fe1 Fe 0.5000 0.5000 0.5000
```

Properties
- Uncorrected energy: -5.765 eV/atom
- ΔH_f (0 K): -98.8 meV per atom



YSi2: relaxed, PBE.

Cell and atoms, written as CIF:
```
data_YSi2
_cell_length_a 6.6061
_cell_length_b 6.6061
_cell_length_c 6.6061
_cell_angle_alpha 90.00
_cell_angle_beta 90.00
_cell_angle_gamma 90.00
_symmetry_space_group_name_H-M 'F m -3 m'
_symmetry_Int_Tables_number 225
_symmetry_space_group_name_Hall '-F 4 2 3'
loop_
_atom_site_label
_atom_site_type_symbol
_atom_site_fract_x
_atom_site_fract_y
_atom_site_fract_z
Y1 Y 0.0000 0.0000 0.0000
Si1 Si 0.2500 0.2500 0.2500
```

Properties
- Uncorrected energy: -5.572 eV/atom
- Uncorrected formation energy: 0.20 eV/atom



K3Cd2H7: relaxed, PBE.

Cell and atoms, written as CIF:
```
data_K3Cd2H7
_cell_length_a 4.1188
_cell_length_b 4.1188
_cell_length_c 21.7153
_cell_angle_alpha 90.00
_cell_angle_beta 90.00
_cell_angle_gamma 90.00
_symmetry_space_group_name_H-M 'I 4/m m m'
_symmetry_Int_Tables_number 139
_symmetry_space_group_name_Hall '-I 4 2'
loop_
_atom_site_label
_atom_site_type_symbol
_atom_site_fract_x
_atom_site_fract_y
_atom_site_fract_z
K1 K 0.0000 0.0000 0.0000
K2 K 0.0000 0.0000 0.1826
Cd1 Cd 0.0000 0.0000 0.4048
H1 H 0.0000 0.0000 0.3111
H2 H 0.0000 0.0000 0.5000
H3 H 0.0000 0.5000 0.0940
```

Properties
- Uncorrected energy: -2.458 eV/atom
- Energy above the most stable polymorph in this dataset: 0.0 meV/atom



K2InSn2: relaxed, PBE.

Cell and atoms, written as CIF:
```
data_K2InSn2
_cell_length_a 12.5809
_cell_length_b 5.2372
_cell_length_c 12.4612
_cell_angle_alpha 90.00
_cell_angle_beta 120.01
_cell_angle_gamma 90.00
_symmetry_space_group_name_H-M 'C 1 2/m 1'
_symmetry_Int_Tables_number 12
loop_
_symmetry_equiv_pos_as_xyz
'x,y,z'
'-x,-y,-z'
'-x,y,-z'
'x,-y,z'
'x+1/2,y+1/2,z'
'-x+1/2,-y+1/2,-z'
'-x+1/2,y+1/2,-z'
'x+1/2,-y+1/2,z'
loop_
_atom_site_label
_atom_site_type_symbol
_atom_site_fract_x
_atom_site_fract_y
_atom_site_fract_z
K1 K 0.0851 0.0000 0.3874
K2 K 0.1761 0.5000 0.1855
In1 In 0.1378 0.5000 0.8520
Sn1 Sn 0.0918 0.0000 0.9547
Sn2 Sn 0.1199 0.5000 0.6028
```

Properties
- Uncorrected energy: -2.799 eV/atom
- Energy above the most stable polymorph in this dataset: 0.0 meV/atom
- ΔH_f (0 K): -211.6 meV per atom



BaPu2CuS5: relaxed, PBE.

Cell and atoms, written as CIF:
```
data_BaPu2CuS5
_cell_length_a 7.6289
_cell_length_b 7.6289
_cell_length_c 13.5450
_cell_angle_alpha 90.00
_cell_angle_beta 90.00
_cell_angle_gamma 90.00
_symmetry_space_group_name_H-M 'I 4/m c m'
_symmetry_Int_Tables_number 140
_symmetry_space_group_name_Hall '-I 4 2c'
loop_
_atom_site_label
_atom_site_type_symbol
_atom_site_fract_x
_atom_site_fract_y
_atom_site_fract_z
Ba1 Ba 0.0000 0.0000 0.2500
Pu1 Pu 0.1633 0.3367 0.0000
Cu1 Cu 0.0000 0.5000 0.2500
S1 S 0.0000 0.0000 0.0000
S2 S 0.1485 0.3515 0.3702
```

Properties
- Uncorrected energy: -7.635 eV/atom
- Uncorrected formation energy: -1.49 eV/atom



What is the formula in the fifth record?
K2InSn2



What did the sixth record say?
BaPu2CuS5: relaxed, PBE.

Cell and atoms, written as CIF:
```
data_BaPu2CuS5
_cell_length_a 7.6289
_cell_length_b 7.6289
_cell_length_c 13.5450
_cell_angle_alpha 90.00
_cell_angle_beta 90.00
_cell_angle_gamma 90.00
_symmetry_space_group_name_H-M 'I 4/m c m'
_symmetry_Int_Tables_number 140
_symmetry_space_group_name_Hall '-I 4 2c'
loop_
_atom_site_label
_atom_site_type_symbol
_atom_site_fract_x
_atom_site_fract_y
_atom_site_fract_z
Ba1 Ba 0.0000 0.0000 0.2500
Pu1 Pu 0.1633 0.3367 0.0000
Cu1 Cu 0.0000 0.5000 0.2500
S1 S 0.0000 0.0000 0.0000
S2 S 0.1485 0.3515 0.3702
```

Properties
- Uncorrected energy: -7.635 eV/atom
- Uncorrected formation energy: -1.49 eV/atom



Look up the uncorrected energy of the fourth one.
-2.458 eV/atom